# 1
# meta-GGA SCAN BaAl2Cu, PBEsol geometry
data_BaAl2Cu
_chemical_formula_sum 'Ba3 Al6 Cu3'
_cell_length_a 4.2420
_cell_length_b 4.2420
_cell_length_c 18.4262
_cell_angle_alpha 90.00
_cell_angle_beta 90.00
_cell_angle_gamma 120.00
_symmetry_space_group_name_H-M 'R -3 m'
_symmetry_Int_Tables_number 166
_symmetry_space_group_name_Hall '-R 3 2"'
loop_
_atom_site_label
_atom_site_type_symbol
_atom_site_fract_x
_atom_site_fract_y
_atom_site_fract_z
Ba1 Ba 0.0000 0.0000 0.0000
Al1 Al 0.0000 0.0000 0.1975
Cu1 Cu 0.0000 0.0000 0.5000
# Total magnetization = 0.005 μB per formula unit
# Energy of formation = -240 meV per atom
# Total energy = -213.64 eV for the cell shown

# 2
# meta-GGA SCAN BaAlCu2, PBEsol geometry
data_BaAlCu2
_chemical_formula_sum 'Ba2 Al2 Cu4'
_cell_length_a 7.384
_cell_length_b 4.244
_cell_length_c 6.008
_cell_angle_alpha 90.00
_cell_angle_beta 104.52
_cell_angle_gamma 90.00
_symmetry_space_group_name_H-M 'C 1 m 1'
_symmetry_Int_Tables_number 8
loop_
_symmetry_equiv_pos_as_xyz
'x,y,z'
'x,-y,z'
'x+1/2,y+1/2,z'
'x+1/2,-y+1/2,z'
loop_
_atom_site_label
_atom_site_type_symbol
_atom_site_fract_x
_atom_site_fract_y
_atom_site_fract_z
Ba1 Ba 0.000 0.000 0.000
Al1 Al 0.275 0.500 0.446
Cu1 Cu 0.134 0.000 0.545
Cu2 Cu 0.455 0.000 0.496
# Total magnetization = 0.001 μB per formula unit
# Energy of formation = -182 meV per atom
# Total energy = -156.86 eV for the cell shown

# 3
# meta-GGA SCAN Ba2AlCu2F11, PBEsol geometry
data_Ba2AlCu2F11
_chemical_formula_sum 'Ba6 Al3 Cu6 F33'
_cell_length_a 7.2859
_cell_length_b 7.2859
_cell_length_c 14.0000
_cell_angle_alpha 90.00
_cell_angle_beta 90.00
_cell_angle_gamma 120.00
_symmetry_space_group_name_H-M 'P 32'
_symmetry_Int_Tables_number 145
loop_
_symmetry_equiv_pos_as_xyz
'x,y,z'
'-y,x-y,z+2/3'
'-x+y,-x,z+1/3'
loop_
_atom_site_label
_atom_site_type_symbol
_atom_site_fract_x
_atom_site_fract_y
_atom_site_fract_z
Ba1 Ba 0.0105 0.1707 0.0000
Ba2 Ba 0.5250 0.2058 0.8023
Al1 Al 0.1620 0.5036 0.2649
Cu1 Cu 0.1020 0.4598 0.7473
Cu2 Cu 0.3285 0.3150 0.5793
F1 F 0.0015 0.2456 0.3193
F2 F 0.0373 0.3997 0.1529
F3 F 0.0426 0.1752 0.5411
F4 F 0.0719 0.7411 0.0446
F5 F 0.0751 0.6244 0.5825
F6 F 0.2225 0.5444 0.8949
F7 F 0.2602 0.5946 0.3874
F8 F 0.3004 0.1140 0.1173
F9 F 0.4232 0.3469 0.4466
F10 F 0.4308 0.3861 0.9594
F11 F 0.5774 0.1891 0.2879
# Total magnetization = 2.000 μB per formula unit
# Total energy = -623.88 eV for the cell shown
# E_form (uncorrected) = -51.8 eV/f.u.

# 4
# meta-GGA SCAN Ba3Al2Cu2F16, PBEsol geometry
data_Ba3Al2Cu2F16
_chemical_formula_sum 'Ba6 Al4 Cu4 F32'
_cell_length_a 7.341
_cell_length_b 5.291
_cell_length_c 15.916
_cell_angle_alpha 90.00
_cell_angle_beta 96.61
_cell_angle_gamma 90.00
_symmetry_space_group_name_H-M 'P 1 21 1'
_symmetry_Int_Tables_number 4
loop_
_symmetry_equiv_pos_as_xyz
'x,y,z'
'-x,y+1/2,-z'
loop_
_atom_site_label
_atom_site_type_symbol
_atom_site_fract_x
_atom_site_fract_y
_atom_site_fract_z
Ba1 Ba 0.164 0.000 0.115
Ba2 Ba 0.252 0.928 0.530
Ba3 Ba 0.311 0.983 0.817
Al1 Al 0.081 0.419 0.659
Al2 Al 0.329 0.475 0.976
Cu1 Cu 0.216 0.451 0.305
Cu2 Cu 0.435 0.928 0.329
F1 F 0.036 0.613 0.367
F2 F 0.051 0.368 0.210
F3 F 0.056 0.366 0.768
F4 F 0.103 0.440 0.546
F5 F 0.138 0.075 0.363
F6 F 0.142 0.263 0.947
F7 F 0.183 0.744 0.957
F8 F 0.211 0.702 0.678
F9 F 0.291 0.232 0.671
F10 F 0.302 0.461 0.085
F11 F 0.369 0.745 0.230
F12 F 0.392 0.607 0.389
F13 F 0.399 0.489 0.872
F14 F 0.404 0.238 0.263
F15 F 0.469 0.178 0.991
F16 F 0.499 0.082 0.433
# Total magnetization = 2.000 μB per formula unit
# Total energy = -602.26 eV for the cell shown
# E_form (uncorrected) = -79.9 eV/f.u.